one:
GGA-PBE YMnMo, optimized geometry; density of states at the Fermi level = 2.84 states/eV/f.u.; magnetic moment = 1.014 Bohr magnetons per cell; SG = P-6m2 (187)
1.0
3.936 0.000 0.000
-1.968 3.409 0.000
0.000 0.000 4.615
Mo Y Mn
1 1 1
Cartesian
0.000 2.272 0.769 Mo
1.968 1.136 3.077 Y
0.000 0.000 0.769 Mn



two:
GGA-PBE YMnMo, optimized geometry; density of states at the Fermi level = 3.53 states/eV/f.u.; magnetic moment = 1.367 Bohr magnetons per cell; SG = I4mm (107)
1.0
5.979 -0.014 0.016
5.145 3.046 0.016
0.834 0.227 3.051
Mo Y Mn
1 1 1
Cartesian
4.613 1.257 1.942 Mo
7.682 2.093 1.041 Y
10.788 2.940 0.130 Mn



three:
GGA-PBE YMnMo, optimized geometry; density of states at the Fermi level = 4.91 states/eV/f.u.; magnetic moment = 0.001 Bohr magnetons per cell; SG = F-43m (216)
1.0
-1.587 0.578 4.017
-4.132 -1.063 0.884
-0.872 -3.450 2.515
Y Mo Mn
1 1 1
Cartesian
-3.296 -1.967 3.708 Y
0.000 0.000 0.000 Mo
-4.943 -2.951 5.562 Mn



Stability verdict: two, ahead by 5.6 kJ/mol of atoms



one:
GGA-PBE YMnMo, optimized geometry; density of states at the Fermi level = 3.54 states/eV/f.u.; magnetic moment = 6.135 Bohr magnetons per cell; SG = F-43m (216)
1.0
4.690 0.000 0.000
2.345 4.062 0.000
2.345 1.354 3.829
Mn Mo Y
1 1 1
Cartesian
0.000 0.000 0.000 Mn
4.690 2.708 1.915 Mo
7.035 4.062 2.872 Y



two:
GGA-PBE YMnMo, optimized geometry; density of states at the Fermi level = 2.80 states/eV/f.u.; magnetic moment = 1.526 Bohr magnetons per cell; SG = P3m1 (156)
1.0
3.190 0.000 0.000
-1.595 2.762 0.000
0.000 0.000 6.534
Y Mo Mn
1 1 1
Cartesian
1.595 0.921 4.383 Y
0.000 1.842 1.865 Mo
0.000 0.000 0.286 Mn



Stability verdict: two, ahead by 103.9 kJ/mol of atoms



one:
GGA-PBE Mn3ZnMo, optimized geometry; density of states at the Fermi level = 10.33 states/eV/f.u.; magnetic moment = 0.025 Bohr magnetons per cell; SG = Pm-3m (221)
1.0
4.201 0.000 0.000
0.000 4.201 0.000
0.000 0.000 4.201
Mo Mn Zn
1 3 1
Cartesian
2.101 2.101 2.101 Mo
0.000 0.000 2.101 Mn
0.000 2.101 0.000 Mn
2.101 0.000 0.000 Mn
0.000 0.000 0.000 Zn



two:
GGA-PBE Mn3ZnMo, optimized geometry; density of states at the Fermi level = 7.07 states/eV/f.u.; magnetic moment = 7.547 Bohr magnetons per cell; SG = Pm-3m (221)
1.0
-0.426 -0.401 -4.536
-4.019 -2.110 0.564
-2.142 4.038 -0.156
Mn Zn Mo
3 1 1
Cartesian
-1.071 2.019 -0.078 Mn
-0.213 -0.201 -2.268 Mn
-2.009 -1.055 0.282 Mn
-3.294 0.763 -2.064 Zn
0.000 0.000 0.000 Mo



Stability verdict: two, ahead by 36.1 kJ/mol of atoms



one:
GGA-PBE ZrMn2Mo, optimized geometry; density of states at the Fermi level = 4.97 states/eV/f.u.; magnetic moment = 2.216 Bohr magnetons per cell; SG = P2/m (10)
1.0
-1.892 -3.546 0.249
1.844 -1.113 -1.840
3.974 -1.890 3.271
Zr Mn Mo
1 2 1
Cartesian
3.417 -4.025 1.198 Zr
2.733 -1.415 0.614 Mn
0.176 -0.087 0.101 Mn
0.508 -2.524 0.482 Mo



two:
GGA-PBE ZrMn2Mo, optimized geometry; density of states at the Fermi level = 5.45 states/eV/f.u.; magnetic moment = 2.184 Bohr magnetons per cell; SG = Immm (71)
1.0
4.987 0.000 0.015
3.944 3.052 0.015
2.066 0.706 3.993
Mo Zr Mn
1 1 2
Cartesian
2.749 0.940 1.006 Mo
8.247 2.819 3.017 Zr
8.835 3.020 0.085 Mn
5.594 1.912 1.955 Mn



Stability verdict: one, ahead by 1.8 kJ/mol of atoms



one:
GGA-PBE ZrMnMo3, optimized geometry; density of states at the Fermi level = 8.08 states/eV/f.u.; magnetic moment = 0.000 Bohr magnetons per cell; SG = Pm-3m (221)
1.0
-1.602 0.498 -4.184
1.148 -4.255 -0.946
-4.054 -1.402 1.386
Mo Mn Zr
3 1 1
Cartesian
-0.801 0.249 -2.092 Mo
0.574 -2.128 -0.473 Mo
-2.027 -0.701 0.693 Mo
0.000 0.000 0.000 Mn
-2.254 -2.579 -1.872 Zr



two:
GGA-PBE ZrMnMo3, optimized geometry; density of states at the Fermi level = 7.98 states/eV/f.u.; magnetic moment = 0.087 Bohr magnetons per cell; SG = Pm-3m (221)
1.0
-2.717 -3.850 0.371
0.505 0.097 4.699
-3.835 2.740 0.355
Mo Mn Zr
3 1 1
Cartesian
0.252 0.048 2.349 Mo
-1.918 1.370 0.178 Mo
-1.358 -1.925 0.186 Mo
-3.024 -0.507 2.713 Mn
0.000 0.000 0.000 Zr



Stability verdict: one, ahead by 170.1 kJ/mol of atoms



one:
GGA-PBE ZrMn3Mo, optimized geometry; density of states at the Fermi level = 5.65 states/eV/f.u.; magnetic moment = 6.363 Bohr magnetons per cell; SG = Pm-3m (221)
1.0
-2.734 3.580 1.188
-1.593 0.235 -4.371
-3.419 -2.972 1.086
Mo Zr Mn
1 1 3
Cartesian
-3.873 0.422 -1.048 Mo
0.000 0.000 0.000 Zr
-1.710 -1.486 0.543 Mn
-0.797 0.117 -2.186 Mn
-1.367 1.790 0.594 Mn



two:
GGA-PBE ZrMn3Mo, optimized geometry; density of states at the Fermi level = 6.81 states/eV/f.u.; magnetic moment = 5.884 Bohr magnetons per cell; SG = Pm-3m (221)
1.0
4.516 0.000 0.000
0.000 4.516 0.000
0.000 0.000 4.516
Mn Zr Mo
3 1 1
Cartesian
0.000 0.000 2.258 Mn
0.000 2.258 0.000 Mn
2.258 0.000 0.000 Mn
2.258 2.258 2.258 Zr
0.000 0.000 0.000 Mo



Stability verdict: two, ahead by 70.5 kJ/mol of atoms